DFT (PBE) results for a geometry-optimized ScAlTc structure.

Cell lengths 4.429, 4.429, 4.429 Å; angles 60.00, 60.00, 60.00 degrees
Fractional positions:
1 Al 0.250 0.250 0.250
2 Sc 0.000 0.000 0.000
3 Tc 0.750 0.750 0.750

Values from the calculation:
crystal system	cubic
polymorph energy (0 for the lowest one)	1237.7	meV per atom
E	-6.043	eV/atom